DFT (GGA+U) results for an optimized crystal structure of DyCoPO.

Calculated values
final energy = -6.433 eV/atom
crystal system = orthorhombic
relative energy among the computed polymorphs = 1.497 eV per formula unit

The structure in POSCAR format:
```
DyCoPO
1.0
4.332 0.000 0.000
0.000 3.934 0.000
0.000 0.000 6.807
Dy Co P O
2 2 2 2
Direct
0.000 0.230 0.000 Dy
0.000 0.770 0.500 Dy
0.500 0.270 0.333 Co
0.500 0.730 0.833 Co
0.500 0.233 0.664 P
0.500 0.767 0.164 P
0.000 0.270 0.333 O
0.000 0.730 0.833 O
```